Record 1
Y8Tl4CSe3, relaxed, DFT PBE-GGA; uncorrected energy = -0.21931 Ha/atom
1.0
3.9254 2.2663 7.8608
-3.9254 2.2663 7.8608
0.0000 -4.5327 7.8608
Y Tl C Se
8 4 1 3
direct
0.2399 0.2399 0.2399
0.2673 0.7138 0.7138
0.2862 0.2862 0.7327
0.2862 0.7327 0.2862
0.7138 0.2673 0.7138
0.7138 0.7138 0.2673
0.7327 0.2862 0.2862
0.7601 0.7601 0.7601
0.0000 0.0000 0.0000
0.0000 0.5000 0.5000
0.5000 0.0000 0.5000
0.5000 0.5000 0.0000
0.5000 0.5000 0.5000
0.0000 0.0000 0.5000
0.0000 0.5000 0.0000
0.5000 0.0000 0.0000

***

Record 2
BaScCu2, relaxed, DFT PBE-GGA; offset from the most stable computed form = 0.352 eV/atom; calculated formation energy = 1.24 eV per formula unit; uncorrected energy = -0.13966 Ha/atom
1.0
-2.5474 2.5474 8.9054
2.5474 -2.5474 8.9054
2.5474 2.5474 -8.9054
Ba Sc Cu
2 2 4
direct
0.3750 0.6250 0.7500
0.6250 0.3750 0.2500
0.1250 0.8750 0.2500
0.8750 0.1250 0.7500
0.0000 0.0000 0.0000
0.0000 0.0000 0.5000
0.0000 0.5000 0.0000
0.5000 0.0000 0.5000

***

Record 3
Pm2Nd2YTm2, relaxed, DFT PBE-GGA; calculated formation energy = 0.14 eV per formula unit; uncorrected energy = -0.18010 Ha/atom
1.0
5.6951 -2.5471 0.0000
5.6951 2.5471 0.0000
-1.1613 0.0000 7.9737
Pm Nd Y Tm
2 2 1 2
direct
0.1436 0.1436 0.4291
0.8564 0.8564 0.5709
0.4282 0.4282 0.2815
0.5718 0.5718 0.7185
0.0000 0.0000 0.0000
0.2853 0.2853 0.8595
0.7147 0.7147 0.1405

***

Record 4
FeCu2Ir, relaxed, DFT PBE-GGA; offset from the most stable computed form = 0.032 eV/atom; calculated formation energy = 0.40 eV per formula unit; uncorrected energy = -0.23071 Ha/atom
1.0
4.3127 -1.3419 0.0000
4.3127 1.3419 0.0000
-0.8801 0.0000 4.4160
Fe Cu Ir
1 2 1
direct
0.0000 0.0000 0.0000
0.5002 0.5002 0.4965
0.7505 0.7505 0.2757
0.2521 0.2521 0.7789

***

Record 5
ZrBe4P, relaxed, DFT PBE-GGA; calculated formation energy = 1.05 eV per formula unit; uncorrected energy = -0.17036 Ha/atom
1.0
0.0000 3.2693 3.2693
3.2693 0.0000 3.2693
3.2693 3.2693 0.0000
Zr Be P
1 4 1
direct
0.0000 0.0000 0.0000
0.1211 0.6263 0.6263
0.6263 0.1211 0.6263
0.6263 0.6263 0.1211
0.6263 0.6263 0.6263
0.2500 0.2500 0.2500

***

Record 6
CaSn2, relaxed, DFT PBE-GGA; calculated formation energy = -1.36 eV per formula unit; uncorrected energy = -0.13925 Ha/atom
1.0
2.3651 -7.3512 0.0000
2.3651 7.3512 0.0000
0.0000 0.0000 4.7263
Ca Sn
2 4
direct
0.1536 0.8464 0.0000
0.8464 0.1536 0.0000
0.0000 0.0000 0.5000
0.3263 0.6737 0.5000
0.5000 0.5000 0.0000
0.6737 0.3263 0.5000